1.
The following is a PBE calculation of crystalline SrNiRh2 at its relaxed geometry, from the Alexandria database.

The offset from the most stable computed form comes out at 433 meV per atom.

Cell lengths 5.757, 8.072, 2.934 Å; angles 90.00, 90.00, 90.00 degrees
Space group Cmmm (No. 65)
Symmetry-distinct sites (fractional):
1 Sr 0.000 0.000 0.000 [2 per cell]
2 Ni 0.000 0.500 0.000 [2 per cell]
3 Rh 0.250 0.250 0.500 [4 per cell]


2.
The following is a PBE calculation of crystalline Pu2Mg at its relaxed geometry, from the Alexandria database.

The offset from the most stable computed form comes out at 0 meV per atom.

Cell lengths 3.291, 3.291, 10.955 Å; angles 90.00, 90.00, 90.00 degrees
Space group I4/mmm (No. 139)
Symmetry-distinct sites (fractional):
1 Pu 0.000 0.000 0.215 [4 per cell]
2 Mg 0.000 0.000 0.500 [2 per cell]


3.
The following is a PBE calculation of crystalline CaPmGa at its relaxed geometry, from the Alexandria database.

The offset from the most stable computed form comes out at 147 meV per atom.

Cell lengths 5.0939, 5.0939, 8.1823 Å; angles 90.00, 90.00, 120.00 degrees
Space group P-3m1 (No. 164)
Symmetry-distinct sites (fractional):
1 Ca 0.3333 0.6667 0.3571 [2 per cell]
2 Pm 0.3333 0.6667 0.8985 [2 per cell]
3 Ga 0.0000 0.0000 0.1757 [2 per cell]


4.
The following is a PBE calculation of crystalline Tl6Cu7 at its relaxed geometry, from the Alexandria database.

Cell lengths 5.1910, 5.1910, 33.1423 Å; angles 90.00, 90.00, 120.00 degrees
Space group R-3m (No. 166, hexagonal axes)
Symmetry-distinct sites (fractional):
1 Tl 0.0000 0.0000 0.0546 [6 per cell]
2 Tl 0.0000 0.0000 0.1503 [6 per cell]
3 Tl 0.0000 0.0000 0.3130 [6 per cell]
4 Cu 0.0000 0.0000 0.5000 [3 per cell]
5 Cu 0.0009 0.5005 0.1033 [18 per cell]


Calculated DFT formation energy in order - 0.357 0.294 -0.277 0.205 eV per atom